# In3BiPb, optimized geometry, DFT PBE
data_In3BiPb
_chemical_formula_sum 'In6 Bi2 Pb2'
_cell_length_a 4.9926
_cell_length_b 4.9536
_cell_length_c 12.1259
_cell_angle_alpha 90.00
_cell_angle_beta 101.10
_cell_angle_gamma 90.00
_space_group_name_H-M_alt 'P 1 21/m 1'
_space_group_IT_number 11
loop_
_space_group_symop_operation_xyz
'x,y,z'
'-x,-y,-z'
'-x,y+1/2,-z'
'x,-y+1/2,z'
loop_
_atom_site_label
_atom_site_fract_x
_atom_site_fract_y
_atom_site_fract_z
In1 0.0482 0.2500 0.1008
In2 0.1469 0.7500 0.2992
In3 0.3481 0.7500 0.6992
Bi1 0.2496 0.2500 0.4930
Pb1 0.4515 0.2500 0.8966
# DFT total energy ... -31.330 eV for the cell shown
# E above lowest polymorph ... 7 meV/atom
# Total magnetic moment ... 0.00 μB/f.u.

# In2Bi2Pb7, optimized geometry, DFT PBE
data_In2Bi2Pb7
_chemical_formula_sum 'In4 Bi4 Pb14'
_cell_length_a 8.6495
_cell_length_b 11.2192
_cell_length_c 7.8447
_cell_angle_alpha 90.00
_cell_angle_beta 106.14
_cell_angle_gamma 90.00
_space_group_name_H-M_alt 'C 1 2/m 1'
_space_group_IT_number 12
loop_
_space_group_symop_operation_xyz
'x,y,z'
'-x,-y,-z'
'-x,y,-z'
'x,-y,z'
'x+1/2,y+1/2,z'
'-x+1/2,-y+1/2,-z'
'-x+1/2,y+1/2,-z'
'x+1/2,-y+1/2,z'
loop_
_atom_site_label
_atom_site_fract_x
_atom_site_fract_y
_atom_site_fract_z
In1 0.1386 0.0000 0.1677
Bi1 0.0000 0.2864 0.0000
Pb1 0.0000 0.0000 0.5000
Pb2 0.0810 0.5000 0.3145
Pb3 0.1686 0.2545 0.6793
# DFT total energy ... -76.344 eV for the cell shown
# E above lowest polymorph ... 23 meV/atom
# Total magnetic moment ... 0.00 μB/f.u.

# In4Bi4Pb5, optimized geometry, DFT PBE
data_In4Bi4Pb5
_chemical_formula_sum 'In8 Bi8 Pb10'
_cell_length_a 12.9916
_cell_length_b 12.9916
_cell_length_c 4.7448
_cell_angle_alpha 90.00
_cell_angle_beta 90.00
_cell_angle_gamma 90.00
_space_group_name_H-M_alt 'I 4/m'
_space_group_IT_number 87
_space_group_name_Hall '-I 4'
loop_
_atom_site_label
_atom_site_fract_x
_atom_site_fract_y
_atom_site_fract_z
In1 0.0754 0.3890 0.0000
Bi1 0.1502 0.7657 0.0000
Pb1 0.0000 0.0000 0.0000
Pb2 0.0382 0.1969 0.5000
# DFT total energy ... -89.447 eV for the cell shown
# Total magnetic moment ... 0.00 μB/f.u.

# InBi7Pb12, optimized geometry, DFT PBE
data_InBi7Pb12
_chemical_formula_sum 'In3 Bi21 Pb36'
_cell_length_a 15.4153
_cell_length_b 15.4153
_cell_length_c 9.5999
_cell_angle_alpha 90.00
_cell_angle_beta 90.00
_cell_angle_gamma 120.00
_space_group_name_H-M_alt 'R -3'
_space_group_IT_number 148
_space_group_name_Hall '-R 3'
loop_
_atom_site_label
_atom_site_fract_x
_atom_site_fract_y
_atom_site_fract_z
In1 0.0000 0.0000 0.0000
Bi1 0.0000 0.0000 0.5000
Bi2 0.0115 0.1755 0.7931
Pb1 0.0037 0.7562 0.8872
Pb2 0.0817 0.5008 0.1331
# DFT total energy ... -220.431 eV for the cell shown
# E above lowest polymorph ... 0 meV/atom
# Total magnetic moment ... 0.00 μB/f.u.

# In3BiPb, optimized geometry, DFT PBE
data_In3BiPb
_chemical_formula_sum 'In3 Bi1 Pb1'
_cell_length_a 5.7389
_cell_length_b 5.7389
_cell_length_c 5.7389
_cell_angle_alpha 90.00
_cell_angle_beta 90.00
_cell_angle_gamma 90.00
_space_group_name_H-M_alt 'P m -3 m'
_space_group_IT_number 221
_space_group_name_Hall '-P 4 2 3'
loop_
_atom_site_label
_atom_site_fract_x
_atom_site_fract_y
_atom_site_fract_z
In1 0.0000 0.0000 0.5000
Bi1 0.5000 0.5000 0.5000
Pb1 0.0000 0.0000 0.0000
# DFT total energy ... -13.202 eV for the cell shown
# E above lowest polymorph ... 499 meV/atom
# Total magnetic moment ... 0.00 μB/f.u.

# In2Bi3Pb3, optimized geometry, DFT PBE
data_In2Bi3Pb3
_chemical_formula_sum 'In4 Bi6 Pb6'
_cell_length_a 4.8850
_cell_length_b 7.2403
_cell_length_c 14.2897
_cell_angle_alpha 90.05
_cell_angle_beta 90.01
_cell_angle_gamma 90.56
_space_group_name_H-M_alt 'P -1'
_space_group_IT_number 2
loop_
_space_group_symop_operation_xyz
'x,y,z'
'-x,-y,-z'
loop_
_atom_site_label
_atom_site_fract_x
_atom_site_fract_y
_atom_site_fract_z
In1 0.0120 0.0007 0.1307
In2 0.0117 0.0007 0.3693
Bi1 0.4040 0.7473 0.7499
Bi2 0.4151 0.2321 0.5031
Bi3 0.4152 0.2322 0.9969
Pb1 0.0173 0.5047 0.1235
Pb2 0.0182 0.5048 0.3766
Pb3 0.4704 0.7588 0.2499
# DFT total energy ... -56.081 eV for the cell shown
# Total magnetic moment ... 0.00 μB/f.u.

Number 1: calculated formation energy 0.028 eV per atom. Number 2: calculated formation energy 0.093 eV per atom. Number 3: calculated formation energy 0.023 eV per atom. Number 4: calculated formation energy 0.046 eV per atom. Number 5: calculated formation energy 0.521 eV per atom. Number 6: calculated formation energy 0.026 eV per atom.